1.
# Gd2Lu

An optimized crystal structure of Gd2Lu (PBE-GGA, Alexandria).

Its formation energy is 0.255 eV/atom. As for the density of states at the Fermi level: 45.12 states/eV per cell. The calculation puts the polymorph energy (0 for the lowest one) at 0.169 eV/atom.

The structure belongs to space group Fd-3m (No. 227, origin choice 2); the cell edges are 9.2077, 9.2077 and 9.2077 Å and the angles 90.00°, 90.00° and 90.00°. The inequivalent atoms are Gd at (0.0000, 0.0000, 0.0000) and Lu at (0.1250, 0.1250, 0.6250).

***

2.
# Gd2Lu

An optimized crystal structure of Gd2Lu (PBE-GGA, Alexandria).

Its formation energy is 0.086 eV/atom. As for the density of states at the Fermi level: 9.77 states/eV per cell. The calculation puts the polymorph energy (0 for the lowest one) at 0.000 eV/atom.

The structure belongs to space group I4/mmm (No. 139); the cell edges are 4.1064, 4.1064 and 11.3037 Å and the angles 90.00°, 90.00° and 90.00°. The inequivalent atoms are Gd at (0.0000, 0.0000, 0.1613) and Lu at (0.0000, 0.0000, 0.5000).

***

3.
# GdLuMg

An optimized crystal structure of GdLuMg (PBE-GGA, Alexandria).

Its formation energy is 0.050 eV/atom. As for the density of states at the Fermi level: 3.94 states/eV per cell. The calculation puts the polymorph energy (0 for the lowest one) at 0.092 eV/atom.

The structure belongs to space group P3m1 (No. 156); the cell edges are 5.4164, 5.4164 and 3.3500 Å and the angles 90.00°, 90.00° and 120.00°. The inequivalent atoms are Gd at (0.0000, 0.0000, 0.0000), Lu at (0.3333, 0.6667, 0.5832) and Mg at (0.6667, 0.3333, 0.3124).